1.
Material: Li3Sm2DyS6
Method: DFT, PBE
State: optimized geometry

Cell and atoms, written as POSCAR:
```
Li3Sm2DyS6
1.0
3.4424 -5.9636 0.0000
3.4424 5.9636 0.0000
-2.2906 0.0000 6.1939
Li Sm Dy S
3 2 1 6
Direct
0.0000 0.0000 0.0000
0.3367 0.6633 0.0000
0.6633 0.3367 0.0000
0.1669 0.8331 0.5000
0.8331 0.1669 0.5000
0.5000 0.5000 0.5000
0.0881 0.4157 0.2466
0.2561 0.2561 0.7524
0.4157 0.0881 0.2466
0.5843 0.9119 0.7534
0.7439 0.7439 0.2476
0.9119 0.5843 0.7534
```

Summary:
**SG**: C2/m
**Energy relative to the elements, uncorrected**: -1.820 eV per atom
**Fermi-level density of states**: 0.00 states/eV/cell

=====

2.
Material: LiSm2Dy3S6
Method: DFT, PBE
State: optimized geometry

Cell and atoms, written as POSCAR:
```
LiSm2Dy3S6
1.0
3.3961 -5.8984 0.0000
3.3961 5.8984 0.0000
-2.2819 0.0000 6.4095
Li Sm Dy S
1 2 3 6
Direct
0.0000 0.0000 0.0000
0.3341 0.6659 0.0000
0.6659 0.3341 0.0000
0.1664 0.8336 0.5000
0.5000 0.5000 0.5000
0.8336 0.1664 0.5000
0.0841 0.4073 0.2533
0.2377 0.2377 0.7499
0.4073 0.0841 0.2533
0.5927 0.9159 0.7467
0.7623 0.7623 0.2501
0.9159 0.5927 0.7467
```

Summary:
**SG**: C2/m
**Energy relative to the elements, uncorrected**: -1.963 eV per atom
**Fermi-level density of states**: 4.90 states/eV/cell

=====

3.
Material: LiSm3Dy3S8
Method: DFT, PBE
State: optimized geometry

Cell and atoms, written as POSCAR:
```
LiSm3Dy3S8
1.0
3.9232 2.2651 6.4437
-3.9232 2.2651 6.4437
0.0000 -4.5302 6.4437
Li Sm Dy S
1 3 3 8
Direct
0.0000 0.0000 0.0000
0.0000 0.0000 0.5000
0.0000 0.5000 0.0000
0.5000 0.0000 0.0000
0.0000 0.5000 0.5000
0.5000 0.0000 0.5000
0.5000 0.5000 0.0000
0.2445 0.2445 0.7499
0.2445 0.7499 0.2445
0.2501 0.7555 0.7555
0.2527 0.2527 0.2527
0.7473 0.7473 0.7473
0.7499 0.2445 0.2445
0.7555 0.2501 0.7555
0.7555 0.7555 0.2501
```

Summary:
**SG**: R-3m
**Energy relative to the elements, uncorrected**: -1.997 eV per atom
**Fermi-level density of states**: 4.48 states/eV/cell

=====

4.
Material: Li2Sm3DyS6
Method: DFT, PBE
State: optimized geometry

Cell and atoms, written as POSCAR:
```
Li2Sm3DyS6
1.0
3.4112 -5.9083 0.0000
3.4112 5.9083 0.0000
-2.2695 0.0000 6.3931
Li Sm Dy S
2 3 1 6
Direct
0.1671 0.8329 0.0000
0.8329 0.1671 0.0000
0.0000 0.0000 0.5000
0.3321 0.6679 0.5000
0.6679 0.3321 0.5000
0.5000 0.5000 0.0000
0.0851 0.4206 0.7625
0.2447 0.2447 0.2397
0.4206 0.0851 0.7625
0.5794 0.9149 0.2375
0.7553 0.7553 0.7603
0.9149 0.5794 0.2375
```

Summary:
**SG**: C2/m
**Energy relative to the elements, uncorrected**: -1.892 eV per atom
**Fermi-level density of states**: 2.59 states/eV/cell

=====

5.
Material: LiSmDyS3
Method: DFT, PBE
State: optimized geometry

Cell and atoms, written as POSCAR:
```
LiSmDyS3
1.0
8.0893 0.0000 0.0000
0.0000 3.8365 0.0000
-1.7972 0.0000 8.2059
Li Sm Dy S
2 2 2 6
Direct
0.0871 0.2500 0.0840
0.9129 0.7500 0.9160
0.1861 0.2500 0.7206
0.8139 0.7500 0.2794
0.3376 0.7500 0.3334
0.6624 0.2500 0.6666
0.0966 0.2500 0.3674
0.2148 0.7500 0.9958
0.4258 0.7500 0.6712
0.5742 0.2500 0.3288
0.7852 0.2500 0.0042
0.9034 0.7500 0.6326
```

Summary:
**SG**: P2_1/m
**Energy relative to the elements, uncorrected**: -1.822 eV per atom
**Fermi-level density of states**: 3.58 states/eV/cell

=====

6.
Material: LiSmDy2S5
Method: DFT, PBE
State: optimized geometry

Cell and atoms, written as POSCAR:
```
LiSmDy2S5
1.0
1.9596 -8.1582 0.0000
1.9596 8.1582 0.0000
0.0000 0.0000 11.8723
Li Sm Dy S
2 2 4 10
Direct
0.0113 0.9887 0.5000
0.9887 0.0113 0.0000
0.3041 0.6959 0.0149
0.6959 0.3041 0.5149
0.3789 0.6211 0.3076
0.3913 0.6087 0.6995
0.6087 0.3913 0.1995
0.6211 0.3789 0.8076
0.0005 0.9995 0.3026
0.1356 0.8644 0.0204
0.1913 0.8087 0.3505
0.2105 0.7895 0.6819
0.4569 0.5431 0.0933
0.5431 0.4569 0.5933
0.7895 0.2105 0.1819
0.8087 0.1913 0.8505
0.8644 0.1356 0.5204
0.9995 0.0005 0.8026
```

Summary:
**SG**: Cmc2_1
**Energy relative to the elements, uncorrected**: -1.848 eV per atom

=====

7.
Material: Li3SmDy2S6
Method: DFT, PBE
State: optimized geometry

Cell and atoms, written as POSCAR:
```
Li3SmDy2S6
1.0
3.4161 -5.9192 0.0000
3.4161 5.9192 0.0000
-2.2714 0.0000 6.1814
Li Sm Dy S
3 1 2 6
Direct
0.0000 0.0000 0.0000
0.3311 0.6689 0.0000
0.6689 0.3311 0.0000
0.5000 0.5000 0.5000
0.1665 0.8335 0.5000
0.8335 0.1665 0.5000
0.0775 0.4165 0.2486
0.2450 0.2450 0.7525
0.4165 0.0775 0.2486
0.5835 0.9225 0.7514
0.7550 0.7550 0.2475
0.9225 0.5835 0.7514
```

Summary:
**SG**: C2/m
**Energy relative to the elements, uncorrected**: -1.834 eV per atom
**Fermi-level density of states**: 0.00 states/eV/cell

=====

8.
Material: LiSm2DyS5
Method: DFT, PBE
State: optimized geometry

Cell and atoms, written as POSCAR:
```
LiSm2DyS5
1.0
1.9748 -8.1974 0.0000
1.9748 8.1974 0.0000
0.0000 0.0000 11.8599
Li Sm Dy S
2 4 2 10
Direct
0.0137 0.9863 0.5000
0.9863 0.0137 0.0000
0.3760 0.6240 0.3143
0.3921 0.6079 0.7029
0.6079 0.3921 0.2029
0.6240 0.3760 0.8143
0.3028 0.6972 0.0197
0.6972 0.3028 0.5197
0.0005 0.9995 0.3022
0.1369 0.8631 0.0172
0.1922 0.8078 0.3607
0.2131 0.7869 0.6796
0.4536 0.5464 0.0902
0.5464 0.4536 0.5902
0.7869 0.2131 0.1796
0.8078 0.1922 0.8607
0.8631 0.1369 0.5172
0.9995 0.0005 0.8022
```

Summary:
**SG**: Cmc2_1
**Energy relative to the elements, uncorrected**: -1.908 eV per atom

=====

9.
Material: LiDySn2S4
Method: DFT, PBE
State: optimized geometry

Cell and atoms, written as POSCAR:
```
LiDySn2S4
1.0
6.8321 0.0000 0.0000
0.0000 4.0131 0.0000
-2.2448 0.0000 6.7090
Li Dy Sn S
1 1 2 4
Direct
0.0000 0.0000 0.0000
0.5000 0.5000 0.0000
0.0000 0.5000 0.5000
0.5000 0.0000 0.5000
0.2484 0.5000 0.2321
0.2574 0.0000 0.7724
0.7426 0.0000 0.2276
0.7516 0.5000 0.7679
```

Summary:
**SG**: P2/m
**Energy relative to the elements, uncorrected**: -1.060 eV per atom

=====

10.
Material: Li3Dy3SnS8
Method: DFT, PBE
State: optimized geometry

Cell and atoms, written as POSCAR:
```
Li3Dy3SnS8
1.0
3.8915 2.2467 6.1753
-3.8915 2.2467 6.1753
0.0000 -4.4935 6.1753
Li Dy Sn S
3 3 1 8
Direct
0.0000 0.5000 0.5000
0.5000 0.0000 0.5000
0.5000 0.5000 0.0000
0.0000 0.0000 0.5000
0.0000 0.5000 0.0000
0.5000 0.0000 0.0000
0.5000 0.5000 0.5000
0.2492 0.2492 0.2492
0.2609 0.2609 0.7339
0.2609 0.7339 0.2609
0.2661 0.7391 0.7391
0.7339 0.2609 0.2609
0.7391 0.2661 0.7391
0.7391 0.7391 0.2661
0.7508 0.7508 0.7508
```

Summary:
**SG**: R-3m
**Energy relative to the elements, uncorrected**: -1.540 eV per atom

=====

11.
Material: Sr4LiDy3S8
Method: DFT, PBE
State: optimized geometry

Cell and atoms, written as POSCAR:
```
Sr4LiDy3S8
1.0
4.0552 2.3413 6.7131
-4.0552 2.3413 6.7131
0.0000 -4.6826 6.7131
Sr Li Dy S
4 1 3 8
Direct
0.0000 0.0000 0.0000
0.0000 0.5000 0.5000
0.5000 0.0000 0.5000
0.5000 0.5000 0.0000
0.5000 0.5000 0.5000
0.0000 0.0000 0.5000
0.0000 0.5000 0.0000
0.5000 0.0000 0.0000
0.2397 0.7434 0.7434
0.2429 0.2429 0.2429
0.2566 0.2566 0.7603
0.2566 0.7603 0.2566
0.7434 0.2397 0.7434
0.7434 0.7434 0.2397
0.7571 0.7571 0.7571
0.7603 0.2566 0.2566
```

Summary:
**SG**: R-3m
**Energy relative to the elements, uncorrected**: -2.005 eV per atom
**Fermi-level density of states**: 4.39 states/eV/cell

=====

12.
Material: SrLiDy2S4
Method: DFT, PBE
State: optimized geometry

Cell and atoms, written as POSCAR:
```
SrLiDy2S4
1.0
1.9807 -6.5766 0.0000
1.9807 6.5766 0.0000
0.0000 0.0000 13.6460
Sr Li Dy S
2 2 4 8
Direct
0.1166 0.8834 0.7500
0.8834 0.1166 0.2500
0.1535 0.8465 0.2500
0.8465 0.1535 0.7500
0.3718 0.6282 0.5563
0.3718 0.6282 0.9437
0.6282 0.3718 0.0563
0.6282 0.3718 0.4437
0.0000 0.0000 0.0000
0.0000 0.0000 0.5000
0.2692 0.7308 0.1175
0.2692 0.7308 0.3825
0.4441 0.5559 0.7500
0.5559 0.4441 0.2500
0.7308 0.2692 0.6175
0.7308 0.2692 0.8825
```

Summary:
**SG**: Cmcm
**Energy relative to the elements, uncorrected**: -1.944 eV per atom
**Fermi-level density of states**: 3.66 states/eV/cell